Below is a relaxed structure of Cr2SiPb, with properties calculated at the GGA-PBE level.

Cell and atoms, written as CIF:
```
data_Cr2SiPb
_cell_length_a 6.5817
_cell_length_b 6.5817
_cell_length_c 6.5817
_cell_angle_alpha 90.00
_cell_angle_beta 90.00
_cell_angle_gamma 90.00
_symmetry_space_group_name_H-M 'F -4 3 m'
_symmetry_Int_Tables_number 216
_symmetry_space_group_name_Hall 'F -4 2 3'
loop_
_atom_site_label
_atom_site_type_symbol
_atom_site_fract_x
_atom_site_fract_y
_atom_site_fract_z
Cr1 Cr 0.0000 0.0000 0.0000
Cr2 Cr 0.2500 0.2500 0.2500
Si1 Si 0.2500 0.2500 0.7500
Pb1 Pb 0.0000 0.0000 0.5000
```

Properties
The value obtained for the electronic total energy is -103.9 eV for the cell shown. For the relative energy among the computed polymorphs, the calculation gives 267 meV per atom. The raw formation energy is 0.6028 eV per atom. As for the volume: 17.82 Å³ per atom.